# 1
The following is a DFT calculation (PBE) of an optimized crystal structure of K2SrMg.

The formation energy comes out at 79 meV per atom. The total moment comes out at 0.000 Bohr magnetons per cell.

Lattice parameters (Å, degrees): 4.3614 4.3614 11.0973 90.00 90.00 90.00
Fractional positions:
K 0.0000 0.0000 0.0000
K 0.5000 0.5000 0.3239
Sr 0.5000 0.5000 0.7038
Mg 0.0000 0.0000 0.5368

# 2
The following is a DFT calculation (PBE) of an optimized crystal structure of KSr2Mg2.

The formation energy comes out at 147 meV per atom. The total moment comes out at 0.000 Bohr magnetons per cell. For the relative energy among the computed polymorphs, the calculation gives 86 meV per atom.

Lattice parameters (Å, degrees): 13.1694 13.1694 13.1694 161.15 161.15 26.78
Fractional positions:
K 0.0000 0.0000 0.0000
Sr 0.3650 0.3650 0.0000
Sr 0.6350 0.6350 0.0000
Mg 0.2500 0.7500 0.5000
Mg 0.7500 0.2500 0.5000

# 3
The following is a DFT calculation (PBE) of an optimized crystal structure of KSrMg.

The formation energy comes out at 31 meV per atom. The total moment comes out at 0.000 Bohr magnetons per cell.

Lattice parameters (Å, degrees): 12.7690 12.7690 5.1261 90.00 90.00 158.71
Fractional positions:
K 0.1907 0.8093 0.7500
K 0.8093 0.1907 0.2500
Sr 0.4262 0.5738 0.7500
Sr 0.5738 0.4262 0.2500
Mg 0.0353 0.9647 0.7500
Mg 0.9647 0.0353 0.2500

# 4
The following is a DFT calculation (PBE) of an optimized crystal structure of KSr2Mg2.

The formation energy comes out at 96 meV per atom. The total moment comes out at 0.000 Bohr magnetons per cell. For the relative energy among the computed polymorphs, the calculation gives 35 meV per atom.

Lattice parameters (Å, degrees): 10.4518 10.4518 3.9497 90.00 90.00 90.00
Fractional positions:
K 0.0000 0.0000 0.0000
K 0.5000 0.5000 0.0000
Sr 0.1330 0.3670 0.0000
Sr 0.3670 0.8670 0.0000
Sr 0.6330 0.1330 0.0000
Sr 0.8670 0.6330 0.0000
Mg 0.1588 0.6588 0.5000
Mg 0.3412 0.1588 0.5000
Mg 0.6588 0.8412 0.5000
Mg 0.8412 0.3412 0.5000

Across the entries above, E takes the values -1.288, -1.383, -1.427, -1.434 eV per atom, respectively.